[1]
Entry from the Alexandria database: a relaxed structure of GdNi4Rh (GGA-PBE).

Lattice parameters (Å, degrees): 4.8986 4.8986 4.8986 60.00 60.00 60.00
Last column: nearest neighbours and their distance in Å.
Fractional positions:
Gd 0.0000 0.0000 0.0000  12 Ni 2.87, 4 Rh 3.00
Ni 0.1281 0.6240 0.6240  6 Ni 2.43-2.47
Ni 0.6240 0.1281 0.6240  6 Ni 2.43-2.47
Ni 0.6240 0.6240 0.1281  6 Ni 2.43-2.47
Ni 0.6240 0.6240 0.6240  6 Ni 2.43-2.47
Rh 0.2500 0.2500 0.2500  12 Ni 2.87, 4 Gd 3.00

Computed properties:
As for the crystal system: cubic. The formation energy comes out at -232 meV per atom.

---

[2]
Entry from the Alexandria database: a relaxed structure of GeOs (GGA-PBE).

Lattice parameters (Å, degrees): 6.7909 6.7909 6.7909 90.00 90.00 90.00
Last column: nearest neighbours and their distance in Å.
Fractional positions:
Ge 0.0000 0.2500 0.5000  4 Os 2.40
Ge 0.0000 0.7500 0.5000  4 Os 2.40
Ge 0.2500 0.5000 0.0000  4 Os 2.40
Ge 0.5000 0.0000 0.2500  4 Os 2.40
Ge 0.5000 0.0000 0.7500  4 Os 2.40
Ge 0.7500 0.5000 0.0000  4 Os 2.40
Os 0.0000 0.5000 0.2500  4 Ge 2.40
Os 0.0000 0.5000 0.7500  4 Ge 2.40
Os 0.2500 0.0000 0.5000  4 Ge 2.40
Os 0.5000 0.2500 0.0000  4 Ge 2.40
Os 0.5000 0.7500 0.0000  4 Ge 2.40
Os 0.7500 0.0000 0.5000  4 Ge 2.40

Computed properties:
As for the crystal system: cubic. The formation energy comes out at 1094 meV per atom.